## In2Sn7 (PBE)

Data for crystalline In2Sn7 at its relaxed geometry.

Cell: 5.758 5.758 8.707 Å, 90.02 90.05 119.97°
Atoms (fractional coordinates):
In: 0.333 0.667 0.000
In: 0.667 0.333 0.000
Sn: 0.000 0.000 0.000
Sn: 0.670 0.000 0.331
Sn: 0.000 0.669 0.331
Sn: 0.330 0.331 0.330
Sn: 0.000 0.331 0.669
Sn: 0.330 0.000 0.669
Sn: 0.670 0.669 0.670

VASP energy (eV/atom): -3.68
Total moment (μB per atom): 0.00
Formation enthalpy at 0 K (eV per atom): 0.040